1.
LiAlOs3: relaxed, PBEsol.

As for the theoretical density: 11.7 Mg/m³. The calculation puts the density of states at the Fermi level at 5.980 states/eV per cell. Its volume is 86.1 Å³ per cell. As for the energy of formation: 1.8103 eV/atom.

The space group is Pm-3m (No. 221) and the conventional cell measures 4.416, 4.416 and 4.416 Å, with angles of 90.00, 90.00 and 90.00 degrees. The asymmetric unit holds Li at (0.000, 0.000, 0.000), Al at (0.500, 0.500, 0.500) and Os at (0.000, 0.500, 0.500).



2.
LiAlOs2: relaxed, PBEsol.

As for the theoretical density: 13.0 Mg/m³. The calculation puts the density of states at the Fermi level at 8.743 states/eV per cell. Its volume is 211.7 Å³ per cell. As for the energy of formation: -0.0885 eV/atom.

The space group is F-43m (No. 216) and the conventional cell measures 5.960, 5.960 and 5.960 Å, with angles of 90.00, 90.00 and 90.00 degrees. The asymmetric unit holds Li at (0.000, 0.000, 0.000), Al at (0.250, 0.250, 0.750), Os at (0.000, 0.000, 0.500) and Os at (0.250, 0.250, 0.250).



3.
Li2AlOs: relaxed, PBEsol.

As for the theoretical density: 6.8 Mg/m³. The calculation puts the density of states at the Fermi level at 1.667 states/eV per cell. Its volume is 56.6 Å³ per cell. As for the energy of formation: -0.0217 eV/atom.

The space group is Pmm2 (No. 25) and the conventional cell measures 2.589, 4.007 and 5.453 Å, with angles of 90.00, 90.00 and 90.00 degrees. The asymmetric unit holds Li at (0.000, 0.000, 0.000), Li at (0.500, 0.500, 0.239), Al at (0.500, 0.500, 0.701) and Os at (0.000, 0.000, 0.506).



4.
LiAl2Os: relaxed, PBEsol.

As for the theoretical density: 7.7 Mg/m³. The calculation puts the density of states at the Fermi level at 1.236 states/eV per cell. Its volume is 53.9 Å³ per cell. As for the energy relative to the lowest polymorph listed for this composition: 62 meV/atom. As for the energy of formation: -0.3234 eV/atom.

The space group is P4/mmm (No. 123) and the conventional cell measures 4.220, 4.220 and 3.025 Å, with angles of 90.00, 90.00 and 90.00 degrees. The asymmetric unit holds Li at (0.000, 0.000, 0.000), Al at (0.000, 0.500, 0.500) and Os at (0.500, 0.500, 0.000).



5.
LiAl2Os: relaxed, PBEsol.

As for the theoretical density: 7.3 Mg/m³. The calculation puts the density of states at the Fermi level at 4.263 states/eV per cell. Its volume is 114.5 Å³ per cell. As for the energy relative to the lowest polymorph listed for this composition: 276 meV/atom. As for the energy of formation: -0.1093 eV/atom.

The space group is C2/m (No. 12) and the conventional cell measures 8.614, 2.662 and 5.025 Å, with angles of 90.00, 96.35 and 90.00 degrees. The asymmetric unit holds Li at (0.000, 0.000, 0.000), Al at (0.240, 0.000, 0.737) and Os at (0.000, 0.500, 0.500).



6.
Li2AlOs: relaxed, PBEsol.

As for the theoretical density: 7.0 Mg/m³. The calculation puts the density of states at the Fermi level at 2.922 states/eV per cell. Its volume is 109.6 Å³ per cell. As for the energy of formation: -0.0824 eV/atom.

The space group is C2/m (No. 12) and the conventional cell measures 9.622, 2.715 and 4.356 Å, with angles of 90.00, 105.62 and 90.00 degrees. The asymmetric unit holds Li at (0.248, 0.000, 0.235), Al at (0.000, 0.000, 0.500) and Os at (0.000, 0.500, 0.000).



- Which of these has the lowest theoretical density?
  number 3



- Among the records above, which one has the highest energy of formation?
  LiAlOs3



- Which of these has the highest energy of formation?
  LiAlOs3



- Which formula does entry 5 have?
  LiAl2Os